PBE AcSnPd2, relaxed; total energy = -5.4138 eV per atom; theoretical density = 9.478 g/cm³; formation energy from the elements = -790 meV per atom
1.0
-1.694 -3.146 -2.886
3.469 -2.480 0.668
-6.344 -3.182 7.193
Ac Sn Pd
2 2 4
Direct
0.250 0.905 0.811
0.750 0.095 0.189
0.750 0.324 0.649
0.250 0.676 0.351
0.250 0.254 0.509
0.750 0.746 0.491
0.750 0.461 0.922
0.250 0.539 0.078